Entry 1:
Below is TlRe2Rh after structural relaxation, with properties calculated at the PBE level.

Cell: 6.4251 6.4251 6.4251 Å, 90.00 90.00 90.00°
Last column: nearest neighbours and their distance in Å.
Space group F-43m (No. 216)
Symmetry-distinct sites (fractional):
Tl  0.0000  0.0000  0.0000 [4 per cell]  4 Re 2.78, 4 Rh 2.78
Re  0.0000  0.0000  0.5000 [4 per cell]  4 Rh 2.78, 4 Re 2.78
Re  0.2500  0.2500  0.2500 [4 per cell]  4 Re 2.78, 4 Tl 2.78
Rh  0.2500  0.2500  0.7500 [4 per cell]  4 Tl 2.78, 4 Re 2.78

## Properties
* relative energy among the computed polymorphs: 404 meV/atom

***

Entry 2:
Below is ReHg2As after structural relaxation, with properties calculated at the PBE level.

Cell: 2.8594 5.2048 5.2073 Å, 90.00 90.00 90.00°
Last column: nearest neighbours and their distance in Å.
Space group Pmmm (No. 47)
Symmetry-distinct sites (fractional):
Re  0.0000  0.0000  0.0000 [1 per cell]  2 Re 2.86, 4 As 2.97, 4 Hg 2.97
Hg  0.0000  0.5000  0.5000 [1 per cell]  6 Hg 2.86-2.97, 4 As 2.97
Hg  0.5000  0.0000  0.5000 [1 per cell]  6 Hg 2.86-2.97, 4 Re 2.97
As  0.5000  0.5000  0.0000 [1 per cell]  2 As 2.86, 4 Re 2.97, 4 Hg 2.97

***

For each record above, in turn, the calculated calculated density values are 17.0, 14.2 g/cm³.
For each record above, in turn, the calculated E_form values are 731, 886 meV/atom.